No. 1
Below is an optimized crystal structure of LaDyIr2, with properties calculated at the PBE level.

Output
Total magnetic moment ... 0.0 Bohr magnetons per cell
Energy relative to the elements ... -0.664 eV/atom
Distance to the lowest polymorph of the same formula ... 0.0 meV per atom

Unit cell a=3.4393 b=3.4393 c=7.3006 alpha=90.00 beta=90.00 gamma=90.00
Space group P4/mmm (No. 123)
Unique sites:
La (0.0000, 0.0000, 0.0000)
Dy (0.0000, 0.0000, 0.5000)
Ir (0.5000, 0.5000, 0.2678)

No. 2
Below is an optimized crystal structure of LaDy3Ir, with properties calculated at the PBE level.

Output
Total magnetic moment ... 0.0 Bohr magnetons per cell
Energy relative to the elements ... -0.309 eV/atom

Unit cell a=5.4671 b=5.4671 c=5.4671 alpha=90.00 beta=90.00 gamma=90.00
Space group Pm-3m (No. 221)
Unique sites:
La (0.0000, 0.0000, 0.0000)
Dy (0.0000, 0.5000, 0.5000)
Ir (0.5000, 0.5000, 0.5000)

No. 3
Below is an optimized crystal structure of La2DyIr, with properties calculated at the PBE level.

Output
Total magnetic moment ... 0.0 Bohr magnetons per cell
Energy relative to the elements ... -0.123 eV/atom
Distance to the lowest polymorph of the same formula ... 376.2 meV per atom

Unit cell a=3.8988 b=3.8988 c=31.8777 alpha=90.00 beta=90.00 gamma=120.00
Space group R-3m (No. 166, hexagonal axes)
Unique sites:
La (0.0000, 0.0000, 0.1124)
Dy (0.0000, 0.0000, 0.0000)
Ir (0.0000, 0.0000, 0.5000)

No. 4
Below is an optimized crystal structure of LaDyIr2, with properties calculated at the PBE level.

Output
Total magnetic moment ... 0.0 Bohr magnetons per cell
Energy relative to the elements ... -0.654 eV/atom
Distance to the lowest polymorph of the same formula ... 9.8 meV per atom

Unit cell a=7.0288 b=7.0288 c=7.0288 alpha=90.00 beta=90.00 gamma=90.00
Space group Fm-3m (No. 225)
Unique sites:
La (0.0000, 0.0000, 0.0000)
Dy (0.0000, 0.0000, 0.5000)
Ir (0.2500, 0.2500, 0.2500)

No. 5
Below is an optimized crystal structure of LaDyIr, with properties calculated at the PBE level.

Output
Total magnetic moment ... 0.0 Bohr magnetons per cell
Energy relative to the elements ... -0.599 eV/atom
Distance to the lowest polymorph of the same formula ... 31.4 meV per atom

Unit cell a=6.9570 b=6.9570 c=6.9570 alpha=90.00 beta=90.00 gamma=90.00
Space group F-43m (No. 216)
Unique sites:
La (0.0000, 0.0000, 0.0000)
Dy (0.0000, 0.0000, 0.5000)
Ir (0.2500, 0.2500, 0.7500)

No. 6
Below is an optimized crystal structure of La2DyIr9, with properties calculated at the PBE level.

Output
Total magnetic moment ... 0.0 Bohr magnetons per cell
Energy relative to the elements ... -0.525 eV/atom

Unit cell a=5.3553 b=5.3553 c=26.8460 alpha=90.00 beta=90.00 gamma=120.00
Space group R-3m (No. 166, hexagonal axes)
Unique sites:
La (0.0000, 0.0000, 0.1394)
Dy (0.0000, 0.0000, 0.0000)
Ir (0.0000, 0.0000, 0.3319)
Ir (0.0000, 0.0000, 0.5000)
Ir (0.0035, 0.5017, 0.0797)

No. 7
Below is an optimized crystal structure of LaDyIr, with properties calculated at the PBE level.

Output
Total magnetic moment ... 0.0 Bohr magnetons per cell
Energy relative to the elements ... -0.508 eV/atom
Distance to the lowest polymorph of the same formula ... 122.8 meV per atom

Unit cell a=3.5503 b=3.5503 c=13.1671 alpha=90.00 beta=90.00 gamma=90.00
Space group I4mm (No. 107)
Unique sites:
La (0.0000, 0.0000, 0.0000)
Dy (0.0000, 0.0000, 0.7498)
Ir (0.0000, 0.0000, 0.3657)

No. 8
Below is an optimized crystal structure of LaDy2Ir9, with properties calculated at the PBE level.

Output
Total magnetic moment ... 0.0 Bohr magnetons per cell
Energy relative to the elements ... -0.584 eV/atom

Unit cell a=5.3531 b=5.3531 c=26.2770 alpha=90.00 beta=90.00 gamma=120.00
Space group R-3m (No. 166, hexagonal axes)
Unique sites:
La (0.0000, 0.0000, 0.0000)
Dy (0.0000, 0.0000, 0.1397)
Ir (0.0000, 0.0000, 0.3329)
Ir (0.0000, 0.0000, 0.5000)
Ir (0.0004, 0.5002, 0.0828)